DFT (PBE) results for Gd3B7W after structural relaxation.

Cell and atoms, written as POSCAR:
```
Gd3B7W
1.0
1.743 -8.091 0.000
1.743 8.091 0.000
0.000 0.000 9.537
Gd B W
6 14 2
Cartesian
1.743 6.369 5.360
1.743 6.369 8.945
1.743 4.139 2.384
1.743 -4.139 7.152
1.743 -6.369 0.592
1.743 -6.369 4.177
1.743 3.674 5.067
1.743 3.674 9.238
1.743 2.185 6.175
1.743 2.185 8.130
1.743 0.658 2.384
1.743 0.341 5.647
1.743 0.341 8.658
1.743 -0.341 0.878
1.743 -0.341 3.890
1.743 -0.658 7.152
1.743 -2.185 1.406
1.743 -2.185 3.362
1.743 -3.674 0.298
1.743 -3.674 4.470
1.743 7.212 2.384
1.743 -7.212 7.152
```

## Properties
space-group type = Cmcm, No. 63
electronic total energy = -107.8 eV/f.u.
magnetization = 42.40 μB per cell
formation energy from the elements = -5.81 eV/f.u.

DFT (PBE) results for Al3PtPb2Au12 after structural relaxation.

Cell and atoms, written as POSCAR:
```
Al3PtPb2Au12
1.0
4.305 2.486 6.310
-4.305 2.486 6.310
0.000 -4.971 6.310
Al Pt Pb Au
3 1 2 12
Cartesian
-2.153 -1.243 6.310
-2.153 1.243 12.619
0.000 2.486 6.310
0.000 0.000 9.465
0.000 0.000 2.196
0.000 0.000 16.733
-2.244 -1.296 8.797
0.000 -2.411 5.548
-2.088 1.206 5.548
0.000 -2.591 10.132
-2.244 1.296 10.132
-2.088 -1.206 13.381
2.088 1.206 5.548
2.244 -1.296 8.797
0.000 2.591 8.797
2.088 -1.206 13.381
0.000 2.411 13.381
2.244 1.296 10.132
```

## Properties
space-group type = R-3m, No. 166
electronic total energy = -63.4 eV/f.u.
magnetization = 0.00 μB per cell
formation energy from the elements = 0.61 eV/f.u.

DFT (PBE) results for Sm3S4 after structural relaxation.

Cell and atoms, written as POSCAR:
```
Sm3S4
1.0
7.299 -2.024 0.000
7.299 2.024 0.000
-3.124 0.000 6.357
Sm S
3 4
Cartesian
0.000 0.000 0.000
3.146 0.000 1.788
8.328 0.000 4.570
0.469 0.000 2.769
2.155 0.000 6.297
9.319 0.000 0.060
11.005 0.000 3.588
```

## Properties
space-group type = C2/m, No. 12
energy above the most stable polymorph in this dataset = 19 meV/atom
electronic total energy = -44.6 eV/f.u.
uncorrected formation energy = -1.9967 eV/atom
magnetization = 0.00 μB per cell

DFT (PBE) results for GaAg2Sn2 after structural relaxation.

Cell and atoms, written as POSCAR:
```
GaAg2Sn2
1.0
-2.174 2.174 6.563
2.174 -2.174 6.563
2.174 2.174 -6.563
Ga Ag Sn
1 2 2
Cartesian
0.000 0.000 0.000
0.000 0.000 5.224
0.000 0.000 7.902
2.174 0.000 3.282
0.000 2.174 3.282
```

## Properties
space-group type = I4/mmm, No. 139
energy above the most stable polymorph in this dataset = 94 meV/atom
electronic total energy = -15.6 eV/f.u.
magnetization = 0.00 μB per cell
formation energy from the elements = 1.11 eV/f.u.

DFT (PBE) results for Mn2ZnSe after structural relaxation.

Cell and atoms, written as POSCAR:
```
Mn2ZnSe
1.0
1.443 0.833 8.329
-1.443 0.833 8.329
0.000 -1.666 8.329
Mn Zn Se
2 1 1
Cartesian
0.000 0.000 0.000
0.000 0.000 6.597
0.000 0.000 12.949
0.000 0.000 18.487
```

## Properties
space-group type = R3m, No. 160
energy above the most stable polymorph in this dataset = 196 meV/atom
electronic total energy = -22.1 eV/f.u.
uncorrected formation energy = 0.2618 eV/atom
magnetization = 2.16 μB per cell

DFT (PBE) results for RbAgIrF2 after structural relaxation.

Cell and atoms, written as POSCAR:
```
RbAgIrF2
1.0
4.239 0.000 0.000
0.000 4.239 0.000
0.000 0.000 6.855
Rb Ag Ir F
1 1 1 2
Cartesian
0.000 0.000 0.000
2.120 2.120 0.000
0.000 0.000 3.427
0.000 2.120 3.427
2.120 0.000 3.427
```

## Properties
space-group type = P4/mmm, No. 123
electronic total energy = -16.6 eV/f.u.
uncorrected formation energy = -0.0419 eV/atom
magnetization = 1.00 μB per cell

DFT (PBE) results for Rb3Cr2PbCl9 after structural relaxation.

Cell and atoms, written as POSCAR:
```
Rb3Cr2PbCl9
1.0
7.335 0.000 0.000
-3.668 6.353 0.000
0.000 0.000 9.204
Rb Cr Pb Cl
3 2 1 9
Cartesian
0.000 0.000 0.000
0.000 4.235 6.333
3.668 2.118 2.871
0.000 4.235 1.389
3.668 2.118 7.815
0.000 0.000 4.602
-1.834 3.176 0.000
0.000 2.237 2.849
-1.731 5.234 2.849
1.937 1.118 6.355
3.668 0.000 0.000
1.834 3.176 0.000
1.731 5.234 2.849
5.398 1.118 6.355
3.668 4.116 6.355
```

## Properties
space-group type = P-3m1, No. 164
electronic total energy = -63.5 eV/f.u.
uncorrected formation energy = -1.4035 eV/atom
magnetization = 8.00 μB per cell

DFT (PBE) results for SnGePdRu2 after structural relaxation.

Cell and atoms, written as POSCAR:
```
SnGePdRu2
1.0
4.958 0.000 0.000
0.000 4.958 0.000
0.000 0.000 4.525
Sn Ge Pd Ru
1 1 1 2
Cartesian
0.000 0.000 0.000
2.479 2.479 0.000
2.479 2.479 2.262
0.000 2.479 2.262
2.479 0.000 2.262
```

## Properties
space-group type = P4/mmm, No. 123
electronic total energy = -26.3 eV/f.u.
magnetization = 4.29 μB per cell
formation energy from the elements = 6.07 eV/f.u.

DFT (PBE) results for AgHg3Rh after structural relaxation.

Cell and atoms, written as POSCAR:
```
AgHg3Rh
1.0
5.206 0.000 0.000
0.000 5.206 0.000
0.000 0.000 5.206
Ag Hg Rh
1 3 1
Cartesian
0.000 0.000 0.000
0.000 2.603 2.603
2.603 0.000 2.603
2.603 2.603 0.000
2.603 2.603 2.603
```

## Properties
space-group type = Pm-3m, No. 221
energy above the most stable polymorph in this dataset = 0 meV/atom
electronic total energy = -9.0 eV/f.u.
magnetization = 0.00 μB per cell
formation energy from the elements = 2.11 eV/f.u.

DFT (PBE) results for BaOs2Se after structural relaxation.

Cell and atoms, written as POSCAR:
```
BaOs2Se
1.0
2.168 1.252 5.878
-2.168 1.252 5.878
0.000 -2.503 5.878
Ba Os Se
1 2 1
Cartesian
0.000 0.000 0.000
0.000 0.000 3.462
0.000 0.000 9.282
0.000 0.000 14.030
```

## Properties
space-group type = R3m, No. 160
electronic total energy = -27.6 eV/f.u.
uncorrected formation energy = 0.0784 eV/atom
magnetization = 0.00 μB per cell

DFT (PBE) results for TiBe2HRh after structural relaxation.

Cell and atoms, written as POSCAR:
```
TiBe2HRh
1.0
3.652 0.000 0.000
0.000 3.652 0.000
0.000 0.000 3.735
Ti Be H Rh
1 2 1 1
Cartesian
0.000 0.000 0.000
0.000 1.826 1.868
1.826 0.000 1.868
0.000 0.000 1.868
1.826 1.826 0.000
```

## Properties
space-group type = P4/mmm, No. 123
electronic total energy = -27.2 eV/f.u.
magnetization = 0.00 μB per cell

DFT (PBE) results for Mg3Pb8 after structural relaxation.

Cell and atoms, written as POSCAR:
```
Mg3Pb8
1.0
4.876 2.815 4.154
-4.876 2.815 4.154
0.000 -5.630 4.154
Mg Pb
3 8
Cartesian
-2.438 -1.407 4.154
-2.438 1.407 8.308
0.000 2.815 4.154
-2.939 -2.517 6.956
-3.650 1.287 5.506
0.710 -3.804 5.506
0.000 0.000 4.550
0.000 0.000 7.912
-0.710 3.804 6.956
3.650 -1.287 6.956
2.939 2.517 5.506
```

## Properties
space-group type = R-3, No. 148
energy above the most stable polymorph in this dataset = 56 meV/atom
electronic total energy = -33.0 eV/f.u.
magnetization = 0.00 μB per cell
formation energy from the elements = 1.40 eV/f.u.